No. 1
DFT (PBE) results for HfP3S after structural relaxation.

Lattice parameters (Å, degrees): 4.9651 4.9651 4.9651 90.00 90.00 90.00
With the nearest neighbours (Å) after each atom.
Space group Pm-3m (No. 221)
Asymmetric unit:
Hf: 0.0000 0.0000 0.0000 [1 per cell]  6 P 2.48
P: 0.0000 0.0000 0.5000 [3 per cell]  2 Hf 2.48
S: 0.5000 0.5000 0.5000 [1 per cell]  12 P 3.51

Calculated values
Calculated total energy   -5.300 eV per atom
Formation energy without anion corrections   762 meV per atom
Excess energy over the best structure of this formula in the dataset   310.8 meV/atom

---

No. 2
DFT (PBE) results for CaGaAgPb after structural relaxation.

Lattice parameters (Å, degrees): 7.2861 7.2861 7.2861 90.00 90.00 90.00
With the nearest neighbours (Å) after each atom.
Space group F-43m (No. 216)
Asymmetric unit:
Ca: 0.0000 0.0000 0.0000 [4 per cell]  4 Ag 3.15, 4 Ga 3.15
Ga: 0.2500 0.2500 0.7500 [4 per cell]  4 Ca 3.15, 4 Pb 3.15
Ag: 0.2500 0.2500 0.2500 [4 per cell]  4 Pb 3.15, 4 Ca 3.15
Pb: 0.0000 0.0000 0.5000 [4 per cell]  4 Ga 3.15, 4 Ag 3.15

Calculated values
DFT formation energy   -0.221 eV/atom
Calculated total energy   -3.118 eV per atom

---

No. 3
DFT (PBE) results for Li3CdF6 after structural relaxation.

Lattice parameters (Å, degrees): 5.2561 5.2561 14.2188 90.00 90.00 120.00
With the nearest neighbours (Å) after each atom.
Space group R3 (No. 146, hexagonal axes)
Asymmetric unit:
Li: 0.0000 0.0000 0.0000 [3 per cell]  6 F 2.00-2.16
Li: 0.0000 0.0000 0.2062 [3 per cell]  6 F 2.04-2.12
Li: 0.0000 0.0000 0.5000 [3 per cell]  6 F 1.98-2.19
Cd: 0.0000 0.0000 0.7052 [3 per cell]  6 F 2.16-2.22
F: 0.0103 0.6911 0.6010 [9 per cell]  3 Li 2.00-2.19, 1 Cd 2.22
F: 0.0236 0.3078 0.1051 [9 per cell]  3 Li 1.98-2.16, 1 Cd 2.16

Calculated values
Calculated total energy   -4.162 eV per atom
Formation energy without anion corrections   -2374 meV per atom
Excess energy over the best structure of this formula in the dataset   0.0 meV/atom